The following is a PBE with a Hubbard U calculation of an optimized crystal structure of Be3WO, from Alexandria via LeMat-Bulk.

```
Be3WO
1.0
-0.6155 -2.5280 2.6229
0.2993 -2.6862 -2.5187
3.6305 -0.2071 0.6523
Be O W
3 1 1
direct
0.0000 0.5000 0.0000 Be
0.5000 0.0000 0.0000 Be
0.0000 0.0000 0.5000 Be
0.0000 0.0000 0.0000 O
0.5000 0.5000 0.5000 W
```

Output
Size of the total moment in μB/cell: 2.00
Total DFT energy (no corrections) in eV/atom: -4.64
Space group: No. 221
DOS(E_F) in states/eV/f.u.: 1.72